DFT (PBE) results for LiRhCl6 after structural relaxation.

Calculated values
DOS(E_F) in states/eV per atom: 1.19
Crystal system: cubic
Uncorrected formation energy in meV/atom: -530
Space group: Fm-3m, No. 225
Size of the total moment in μB/f.u.: 2.11
Relative energy among the computed polymorphs in meV per atom: 99
Total energy in Ry/atom: -0.2259

Unit cell a=6.8824 b=6.8824 c=6.8824 alpha=60.00 beta=60.00 gamma=60.00
Last column: nearest neighbours and their distance in Å.
Positions (direct):
Cl (0.7614, 0.7614, 0.2386)  1 Rh 2.32, 1 Li 2.54
Cl (0.2386, 0.2386, 0.7614)  1 Rh 2.32, 1 Li 2.54
Cl (0.2386, 0.7614, 0.7614)  1 Rh 2.32, 1 Li 2.54
Cl (0.7614, 0.2386, 0.7614)  1 Rh 2.32, 1 Li 2.54
Cl (0.2386, 0.7614, 0.2386)  1 Rh 2.32, 1 Li 2.54
Cl (0.7614, 0.2386, 0.2386)  1 Rh 2.32, 1 Li 2.54
Li (0.5000, 0.5000, 0.5000)  6 Cl 2.54
Rh (0.0000, 0.0000, 0.0000)  6 Cl 2.32